# 1
This record from the Open Quantum Materials Database describes KMgSbPd after structural relaxation. The functional is GGA-PBE.

The value obtained for the energy above the most stable polymorph in this dataset is 0.04 kcal/mol of atoms.

The structure belongs to space group F-43m (No. 216); the cell edges are 7.144, 7.144 and 7.144 Å and the angles 90.00°, 90.00° and 90.00°. The distinct sites, in fractional coordinates, are K at (0.000, 0.000, 0.000), Mg at (0.250, 0.250, 0.750), Sb at (0.000, 0.000, 0.500) and Pd at (0.250, 0.250, 0.250).

---

# 2
This record from the Open Quantum Materials Database describes KMgTaPd after structural relaxation. The functional is GGA-PBE.

The value obtained for the energy above the most stable polymorph in this dataset is 8.67 kcal/mol of atoms.

The structure belongs to space group F-43m (No. 216); the cell edges are 7.082, 7.082 and 7.082 Å and the angles 90.00°, 90.00° and 90.00°. The distinct sites, in fractional coordinates, are K at (0.000, 0.000, 0.000), Mg at (0.000, 0.000, 0.500), Ta at (0.250, 0.250, 0.250) and Pd at (0.250, 0.250, 0.750).

---

# 3
This record from the Open Quantum Materials Database describes KMgTaPd after structural relaxation. The functional is GGA-PBE.

The value obtained for the energy above the most stable polymorph in this dataset is 2.90 kcal/mol of atoms.

The structure belongs to space group F-43m (No. 216); the cell edges are 7.008, 7.008 and 7.008 Å and the angles 90.00°, 90.00° and 90.00°. The distinct sites, in fractional coordinates, are K at (0.000, 0.000, 0.000), Mg at (0.250, 0.250, 0.750), Ta at (0.000, 0.000, 0.500) and Pd at (0.250, 0.250, 0.250).

---

# 4
This record from the Open Quantum Materials Database describes KMgTaPd after structural relaxation. The functional is GGA-PBE.

The value obtained for the energy above the most stable polymorph in this dataset is 0.00 kcal/mol of atoms.

The structure belongs to space group F-43m (No. 216); the cell edges are 6.787, 6.787 and 6.787 Å and the angles 90.00°, 90.00° and 90.00°. The distinct sites, in fractional coordinates, are K at (0.000, 0.000, 0.000), Mg at (0.250, 0.250, 0.250), Ta at (0.250, 0.250, 0.750) and Pd at (0.000, 0.000, 0.500).

---

# 5
This record from the Open Quantum Materials Database describes KPmMg after structural relaxation. The functional is GGA-PBE.

The structure belongs to space group F-43m (No. 216); the cell edges are 7.857, 7.857 and 7.857 Å and the angles 90.00°, 90.00° and 90.00°. The distinct sites, in fractional coordinates, are K at (0.000, 0.000, 0.000), Pm at (0.250, 0.250, 0.250) and Mg at (0.250, 0.250, 0.750).

---

# 6
This record from the Open Quantum Materials Database describes KPrMgSe3 after structural relaxation. The functional is GGA-PBE.

The structure belongs to space group Pnma (No. 62); the cell edges are 11.960, 4.458 and 12.844 Å and the angles 90.00°, 90.00° and 90.00°. The distinct sites, in fractional coordinates, are K at (0.162, 0.250, 0.001), Pr at (0.022, 0.250, 0.331), Mg at (0.243, 0.250, 0.713), Se at (0.048, 0.750, 0.174), Se at (0.109, 0.250, 0.558) and Se at (0.216, 0.750, 0.810).

---

# 7
This record from the Open Quantum Materials Database describes KPrMgSe3 after structural relaxation. The functional is GGA-PBE.

The structure belongs to space group P2_1/m (No. 11); the cell edges are 9.148, 4.368 and 10.192 Å and the angles 90.00°, 105.18° and 90.00°. The distinct sites, in fractional coordinates, are K at (0.204, 0.250, 0.224), Pr at (0.328, 0.750, 0.862), Mg at (0.084, 0.250, 0.606), Se at (0.101, 0.250, 0.859), Se at (0.201, 0.750, 0.537) and Se at (0.457, 0.750, 0.158).

---

# 8
This record from the Open Quantum Materials Database describes KMgSbPt after structural relaxation. The functional is GGA-PBE.

The value obtained for the energy above the most stable polymorph in this dataset is 4.03 kcal/mol of atoms.

The structure belongs to space group F-43m (No. 216); the cell edges are 7.204, 7.204 and 7.204 Å and the angles 90.00°, 90.00° and 90.00°. The distinct sites, in fractional coordinates, are K at (0.000, 0.000, 0.000), Mg at (0.000, 0.000, 0.500), Sb at (0.250, 0.250, 0.250) and Pt at (0.250, 0.250, 0.750).

---

no.,volume (Å³ per atom),uncorrected energy (eV/atom)
1,22.8,-3.11
2,22.2,-3.78
3,21.5,-4.03
4,19.5,-4.16
5,40.4,-1.51
6,28.5,-4.52
7,32.7,-4.52
8,23.4,-3.18